[1]
Mg18Al11 | the Alexandria database | SCAN | single point on PBEsol structure; ΔE_f = -0.01 eV/atom; symmetry = No. 8; energy = -6.041 eV per atom
1.0
-3.417 2.885 -7.912
-6.816 -1.954 5.685
5.191 6.535 3.623
Mg Al
18 11
direct
0.001 0.001 0.002
0.684 0.396 0.000
0.003 0.656 0.002
0.656 0.003 0.002
0.396 0.684 0.000
0.631 0.631 0.818
0.311 0.311 0.715
0.400 0.999 0.685
0.999 0.400 0.685
0.999 0.999 0.654
0.600 0.280 0.598
0.280 0.600 0.598
0.999 0.683 0.399
0.683 0.999 0.399
0.346 0.346 0.347
0.714 0.315 0.315
0.315 0.714 0.315
0.600 0.600 0.281
0.368 0.186 0.001
0.186 0.368 0.001
0.182 0.816 0.814
0.816 0.182 0.814
0.821 0.634 0.628
0.634 0.821 0.628
0.187 0.001 0.369
0.001 0.187 0.369
0.367 0.000 0.186
0.000 0.367 0.186
0.820 0.820 0.191

***

[2]
ScAl2Cu2 | the Alexandria database | SCAN | single point on PBEsol structure; ΔE_f = -0.42 eV/atom; symmetry = No. 139; energy = -12.449 eV per atom
1.0
3.898 0.000 0.000
0.000 3.898 0.000
-1.949 -1.949 5.175
Sc Al Cu
1 2 2
direct
0.000 0.000 0.000
0.250 0.750 0.500
0.750 0.250 0.500
0.390 0.390 0.779
0.610 0.610 0.221

***

[3]
CoWSe3 | the Alexandria database | SCAN | single point on PBEsol structure; symmetry = No. 221; energy = -28.416 eV per atom; ΔE_f (raw) = 1029 meV/atom
1.0
4.498 0.000 0.000
0.000 4.498 0.000
0.000 0.000 4.498
Co Se W
1 3 1
direct
0.000 0.000 0.000
0.000 0.500 0.000
0.000 0.000 0.500
0.500 0.000 0.000
0.500 0.500 0.500

***

[4]
ZrInSnH2 | the Alexandria database | SCAN | single point on PBEsol structure; symmetry = No. 123; energy = -20.864 eV per atom
1.0
-2.776 2.309 1.836
0.024 -2.503 3.185
4.324 3.215 2.494
H Sn Zr In
2 1 1 1
direct
0.000 0.500 0.000
0.500 0.000 0.000
0.000 0.000 0.000
0.000 0.000 0.500
0.500 0.500 0.500

***

[5]
SrZn3In | the Alexandria database | SCAN | single point on PBEsol structure; ΔE_f = 0.16 eV/atom; symmetry = No. 221; energy = -19.079 eV per atom
1.0
-2.765 3.274 -2.732
-3.462 -3.625 -0.840
-2.489 1.404 4.203
Sr Zn In
1 3 1
direct
0.500 0.500 0.500
0.000 0.500 0.000
0.000 0.000 0.500
0.500 0.000 0.000
0.000 0.000 0.000

***

[6]
YNi4B | the Alexandria database | SCAN | single point on PBEsol structure; ΔE_f = -0.49 eV/atom; symmetry = No. 191; energy = -17.149 eV per atom
1.0
-0.404 1.001 -4.784
2.971 -3.598 1.510
-5.183 -4.490 -0.502
Y Ni B
2 8 2
direct
0.000 0.000 0.500
0.000 0.000 0.000
0.333 0.667 0.000
0.667 0.333 0.000
0.000 0.500 0.710
0.500 0.500 0.710
0.500 0.000 0.710
0.000 0.500 0.290
0.500 0.500 0.290
0.500 0.000 0.290
0.667 0.333 0.500
0.333 0.667 0.500

***

[7]
Al3NiW | the Alexandria database | SCAN | single point on PBEsol structure; ΔE_f = 0.56 eV/atom; symmetry = No. 221; energy = -21.260 eV per atom
1.0
4.304 0.000 0.000
0.000 4.304 0.000
0.000 0.000 4.304
Ni Al W
1 3 1
direct
0.000 0.000 0.000
0.000 0.500 0.000
0.000 0.000 0.500
0.500 0.000 0.000
0.500 0.500 0.500

***

[8]
CsLi3Mg | the Alexandria database | SCAN | single point on PBEsol structure; ΔE_f = 0.25 eV/atom; symmetry = No. 221; energy = -9.743 eV per atom
1.0
5.739 0.000 0.000
0.000 5.739 0.000
0.000 0.000 5.739
Cs Mg Li
1 1 3
direct
0.500 0.500 0.500
0.000 0.000 0.000
0.000 0.500 0.000
0.000 0.000 0.500
0.500 0.000 0.000

***

[9]
Cd2BAsPb | the Alexandria database | SCAN | single point on PBEsol structure; ΔE_f = 0.55 eV/atom; symmetry = No. 123; energy = -32.296 eV per atom
1.0
-0.699 0.053 4.385
4.060 -1.670 0.667
1.958 4.861 0.254
Pb As B Cd
1 1 1 2
direct
0.500 0.500 0.500
0.000 0.000 0.500
0.000 0.000 0.000
0.000 0.500 0.000
0.500 0.000 0.000

***

[10]
AsPW2 | the Alexandria database | SCAN | single point on PBEsol structure; ΔE_f = 0.21 eV/atom; symmetry = No. 123; energy = -42.283 eV per atom; ΔE to the lowest computed polymorph = 68 meV/atom
1.0
3.051 0.000 0.000
0.000 4.300 0.000
0.000 0.000 4.300
As P W
1 1 2
direct
0.500 0.500 0.500
0.500 0.000 0.000
0.000 0.000 0.500
0.000 0.500 0.000

***

[11]
CdAu | the Alexandria database | SCAN | single point on PBEsol structure; ΔE_f = -0.23 eV/atom; symmetry = No. 221; energy = -50.018 eV per atom
1.0
-2.927 1.546 -0.176
0.006 -0.364 -3.295
-1.556 -2.909 0.319
Au Cd
1 1
direct
0.500 0.500 0.500
0.000 0.000 0.000

***

[12]
TlCrTeN2 | the Alexandria database | SCAN | single point on PBEsol structure; symmetry = No. 123; energy = -28.793 eV per atom; ΔE_f (raw) = 523 meV/atom
1.0
-2.080 -2.439 -2.221
3.101 -2.341 -0.334
-1.560 -2.697 4.423
Cr Tl Te N
1 1 1 2
direct
0.000 0.000 0.000
0.500 0.500 0.500
0.000 0.000 0.500
0.000 0.500 0.000
0.500 0.000 0.000

***

[13]
Mg2Tc | the Alexandria database | SCAN | single point on PBEsol structure; ΔE_f = 0.22 eV/atom; symmetry = No. 71; energy = -14.787 eV per atom; ΔE to the lowest computed polymorph = 136 meV/atom
1.0
2.679 0.000 0.000
0.000 4.370 0.000
-1.339 -2.185 4.237
Mg Tc
2 1
direct
0.663 0.663 0.326
0.337 0.337 0.674
0.000 0.000 0.000

***

[14]
CaPr2BeO5 | the Alexandria database | SCAN | single point on PBEsol structure; symmetry = No. 33; energy = -18.073 eV per atom; ΔE_f (raw) = -3426 meV/atom
1.0
6.469 0.000 0.000
0.000 7.203 0.000
0.000 0.000 9.435
Ca Pr Be O
4 8 4 20
direct
0.578 0.979 0.677
0.422 0.479 0.323
0.078 0.479 0.823
0.922 0.979 0.177
0.098 0.746 0.524
0.402 0.746 0.024
0.902 0.246 0.476
0.598 0.246 0.976
0.927 0.527 0.171
0.073 0.027 0.829
0.427 0.027 0.329
0.573 0.527 0.671
0.693 0.748 0.395
0.807 0.748 0.895
0.307 0.248 0.605
0.193 0.248 0.105
0.311 0.057 0.071
0.194 0.442 0.575
0.689 0.557 0.929
0.806 0.942 0.425
0.694 0.942 0.925
0.811 0.557 0.429
0.306 0.442 0.075
0.189 0.057 0.571
0.642 0.750 0.222
0.858 0.750 0.722
0.358 0.250 0.778
0.142 0.250 0.278
0.020 0.751 0.988
0.480 0.751 0.488
0.980 0.251 0.012
0.520 0.251 0.512
0.168 0.749 0.272
0.332 0.749 0.772
0.832 0.249 0.728
0.668 0.249 0.228

***

[15]
K2Cd2S3O12 | the Alexandria database | SCAN | single point on PBEsol structure; symmetry = No. 19; energy = -11.342 eV per atom; ΔE_f (raw) = -1808 meV/atom; ΔE to the lowest computed polymorph = 0 meV/atom
1.0
-4.373 3.367 -8.558
6.120 -6.029 -5.499
-6.942 -7.567 0.570
K Cd S O
8 8 12 48
direct
0.420 0.556 0.064
0.080 0.444 0.564
0.783 0.313 0.189
0.920 0.944 0.936
0.717 0.686 0.689
0.283 0.187 0.811
0.217 0.813 0.311
0.580 0.056 0.436
0.447 0.417 0.408
0.553 0.917 0.092
0.947 0.083 0.592
0.053 0.583 0.908
0.356 0.822 0.661
0.856 0.678 0.339
0.144 0.178 0.161
0.644 0.322 0.839
0.748 0.617 0.035
0.252 0.117 0.465
0.248 0.883 0.965
0.752 0.383 0.535
0.137 0.500 0.243
0.863 0.000 0.257
0.637 0.000 0.758
0.363 0.500 0.743
0.962 0.277 0.879
0.538 0.723 0.379
0.462 0.223 0.121
0.038 0.777 0.621
0.849 0.674 0.946
0.151 0.174 0.554
0.349 0.826 0.054
0.651 0.326 0.446
0.681 0.504 0.974
0.319 0.004 0.526
0.181 0.996 0.026
0.819 0.496 0.474
0.648 0.718 0.066
0.352 0.218 0.434
0.148 0.782 0.934
0.852 0.282 0.566
0.814 0.570 0.156
0.186 0.070 0.344
0.314 0.930 0.844
0.686 0.430 0.656
0.078 0.369 0.261
0.922 0.869 0.239
0.062 0.596 0.323
0.578 0.131 0.739
0.275 0.504 0.291
0.725 0.004 0.209
0.775 0.996 0.709
0.225 0.496 0.791
0.141 0.542 0.105
0.859 0.042 0.395
0.641 0.958 0.895
0.359 0.458 0.605
0.447 0.711 0.490
0.553 0.211 0.010
0.947 0.789 0.510
0.053 0.289 0.990
0.671 0.761 0.426
0.329 0.261 0.074
0.171 0.739 0.574
0.829 0.239 0.926
0.488 0.826 0.290
0.512 0.326 0.210
0.988 0.674 0.710
0.012 0.174 0.790
0.545 0.593 0.313
0.455 0.093 0.187
0.045 0.907 0.687
0.955 0.407 0.813
0.438 0.404 0.823
0.562 0.904 0.677
0.938 0.096 0.177
0.422 0.631 0.761

***

[16]
Sb5Ru3 | the Alexandria database | SCAN | single point on PBEsol structure; symmetry = No. 65; energy = -35.963 eV per atom; ΔE_f (raw) = 385 meV/atom
1.0
-3.850 -1.222 1.830
-1.132 -3.543 -4.748
2.971 -3.496 3.915
Ru Sb
3 5
direct
0.000 0.500 0.500
0.500 0.726 0.274
0.500 0.274 0.726
0.000 0.000 0.000
0.000 0.000 0.500
0.000 0.500 0.000
0.500 0.287 0.287
0.500 0.713 0.713

***

[17]
GaAsSe2Cl | the Alexandria database | SCAN | single point on PBEsol structure; symmetry = No. 123; energy = -16.051 eV per atom; ΔE_f (raw) = 883 meV/atom; ΔE to the lowest computed polymorph = 358 meV/atom
1.0
-4.176 -2.419 0.804
2.446 -4.271 -0.150
0.776 0.274 4.855
As Ga Se Cl
1 1 2 1
direct
0.500 0.000 0.000
0.500 0.500 0.500
0.000 0.000 0.500
0.000 0.500 0.000
0.000 0.000 0.000

***

[18]
LaMgAl2 | the Alexandria database | SCAN | single point on PBEsol structure; ΔE_f = -0.21 eV/atom; symmetry = No. 47; energy = -16.106 eV per atom
1.0
-2.295 2.018 -0.017
-2.771 -3.154 -0.133
-0.174 -0.139 6.957
Al La Mg
2 1 1
direct
0.000 0.000 0.702
0.000 0.000 0.298
0.500 0.500 0.000
0.500 0.500 0.500

***

[19]
BaMg2Cu | the Alexandria database | SCAN | single point on PBEsol structure; ΔE_f = 0.06 eV/atom; symmetry = No. 65; energy = -16.111 eV per atom
1.0
-1.972 -3.611 1.506
4.359 -2.883 -1.204
0.132 1.999 4.964
Ba Cu Mg
1 1 2
direct
0.500 0.000 0.500
0.500 0.500 0.000
0.000 0.332 0.168
0.000 0.668 0.832

***

[20]
FeAu3Br | the Alexandria database | SCAN | single point on PBEsol structure; symmetry = No. 221; energy = -48.282 eV per atom; ΔE_f (raw) = 730 meV/atom
1.0
4.781 0.000 0.000
0.000 4.781 0.000
0.000 0.000 4.781
Au Fe Br
3 1 1
direct
0.000 0.500 0.000
0.000 0.000 0.500
0.500 0.000 0.000
0.000 0.000 0.000
0.500 0.500 0.500